P) ScAl3O | PBE | relaxed

For the magnetic moment, the calculation gives 0.00 μB per cell. As for the crystal system: cubic.

a b c (Å): 4.268 4.268 4.268
angles (deg): 90.00 90.00 90.00
Fractional positions:
Sc (0.000, 0.000, 0.000)
Al (0.000, 0.500, 0.500)
Al (0.500, 0.000, 0.500)
Al (0.500, 0.500, 0.000)
O (0.500, 0.500, 0.500)

***

Q) ScAl3O | PBE | relaxed

For the magnetic moment, the calculation gives 1.75 μB per cell. As for the crystal system: cubic.

a b c (Å): 5.365 5.365 5.365
angles (deg): 90.00 90.00 90.00
Fractional positions:
Sc (0.000, 0.000, 0.000)
Al (0.000, 0.000, 0.500)
Al (0.000, 0.500, 0.000)
Al (0.500, 0.000, 0.000)
O (0.500, 0.500, 0.500)

***

Which structure is the most stable? The one labeled P).

***

P) ScAl2O4 | PBE | relaxed

For the magnetic moment, the calculation gives 0.00 μB per cell. As for the crystal system: orthorhombic.

a b c (Å): 6.077 6.077 6.077
angles (deg): 115.03 109.57 104.00
Fractional positions:
Sc (0.165, 0.415, 0.750)
Sc (0.335, 0.085, 0.250)
Al (0.250, 0.623, 0.373)
Al (0.656, 0.250, 0.906)
Al (0.750, 0.877, 0.127)
Al (0.844, 0.750, 0.594)
O (0.068, 0.609, 0.556)
O (0.432, 0.988, 0.541)
O (0.506, 0.518, 0.418)
O (0.553, 0.512, 0.944)
O (0.600, 0.088, 0.082)
O (0.900, 0.982, 0.488)
O (0.947, 0.891, 0.959)
O (0.994, 0.412, 0.012)

***

Q) ScAl2O4 | PBE | relaxed

For the magnetic moment, the calculation gives 0.72 μB per cell. As for the crystal system: tetragonal.

a b c (Å): 4.237 4.237 5.191
angles (deg): 90.00 90.00 90.00
Fractional positions:
Sc (0.000, 0.000, 0.000)
Al (0.000, 0.500, 0.500)
Al (0.500, 0.000, 0.500)
O (0.240, 0.240, 0.309)
O (0.240, 0.760, 0.691)
O (0.760, 0.240, 0.691)
O (0.760, 0.760, 0.309)

***

Which structure is the most stable? The one labeled P).

***

P) AlSeO2 | PBE | relaxed

For the magnetic moment, the calculation gives 0.00 μB per cell. As for the crystal system: trigonal.

a b c (Å): 2.930 2.930 18.527
angles (deg): 90.00 90.00 120.00
Fractional positions:
Al (0.000, 0.000, 0.000)
Al (0.333, 0.667, 0.667)
Al (0.667, 0.333, 0.333)
Se (0.000, 0.000, 0.500)
Se (0.333, 0.667, 0.167)
Se (0.667, 0.333, 0.833)
O (0.000, 0.000, 0.385)
O (0.000, 0.000, 0.615)
O (0.333, 0.667, 0.051)
O (0.333, 0.667, 0.282)
O (0.667, 0.333, 0.718)
O (0.667, 0.333, 0.949)

***

Q) AlSeO2 | PBE | relaxed

For the magnetic moment, the calculation gives 0.00 μB per cell. As for the crystal system: cubic.

a b c (Å): 5.688 5.688 5.688
angles (deg): 90.00 90.00 90.00
Fractional positions:
Al (0.000, 0.000, 0.000)
Al (0.000, 0.500, 0.500)
Al (0.500, 0.000, 0.500)
Al (0.500, 0.500, 0.000)
Se (0.000, 0.000, 0.500)
Se (0.000, 0.500, 0.000)
Se (0.500, 0.000, 0.000)
Se (0.500, 0.500, 0.500)
O (0.250, 0.250, 0.250)
O (0.250, 0.250, 0.750)
O (0.250, 0.750, 0.250)
O (0.250, 0.750, 0.750)
O (0.750, 0.250, 0.250)
O (0.750, 0.250, 0.750)
O (0.750, 0.750, 0.250)
O (0.750, 0.750, 0.750)

***

R) AlSeO2 | PBE | relaxed

For the magnetic moment, the calculation gives 0.00 μB per cell. As for the crystal system: tetragonal.

a b c (Å): 5.109 5.109 8.525
angles (deg): 90.00 90.00 90.00
Fractional positions:
Al (0.000, 0.000, 0.000)
Al (0.000, 0.500, 0.250)
Al (0.500, 0.000, 0.750)
Al (0.500, 0.500, 0.500)
Se (0.000, 0.000, 0.500)
Se (0.000, 0.500, 0.750)
Se (0.500, 0.000, 0.250)
Se (0.500, 0.500, 0.000)
O (0.116, 0.250, 0.125)
O (0.250, 0.616, 0.375)
O (0.250, 0.884, 0.875)
O (0.384, 0.250, 0.625)
O (0.616, 0.750, 0.625)
O (0.750, 0.116, 0.875)
O (0.750, 0.384, 0.375)
O (0.884, 0.750, 0.125)

***

Which structure is the most stable? The one labeled P).

***

P) AlSe2O | PBE | relaxed

For the magnetic moment, the calculation gives 0.00 μB per cell. As for the crystal system: tetragonal.

a b c (Å): 5.210 5.210 12.269
angles (deg): 90.00 90.00 90.00
Fractional positions:
Al (0.000, 0.000, 0.000)
Al (0.000, 0.500, 0.250)
Al (0.500, 0.000, 0.750)
Al (0.500, 0.500, 0.500)
Se (0.210, 0.250, 0.625)
Se (0.250, 0.710, 0.875)
Se (0.250, 0.790, 0.375)
Se (0.290, 0.250, 0.125)
Se (0.710, 0.750, 0.125)
Se (0.750, 0.210, 0.375)
Se (0.750, 0.290, 0.875)
Se (0.790, 0.750, 0.625)
O (0.000, 0.000, 0.500)
O (0.000, 0.500, 0.750)
O (0.500, 0.000, 0.250)
O (0.500, 0.500, 0.000)

***

Q) AlSe2O | PBE | relaxed

For the magnetic moment, the calculation gives 0.00 μB per cell. As for the crystal system: trigonal.

a b c (Å): 2.948 2.948 26.156
angles (deg): 90.00 90.00 120.00
Fractional positions:
Al (0.000, 0.000, 0.000)
Al (0.333, 0.667, 0.667)
Al (0.667, 0.333, 0.333)
Se (0.000, 0.000, 0.101)
Se (0.000, 0.000, 0.899)
Se (0.333, 0.667, 0.566)
Se (0.333, 0.667, 0.768)
Se (0.667, 0.333, 0.232)
Se (0.667, 0.333, 0.434)
O (0.000, 0.000, 0.500)
O (0.333, 0.667, 0.167)
O (0.667, 0.333, 0.833)

***

Which structure is the most stable? The one labeled P).

***

P) AlSe2O | PBE | relaxed

For the magnetic moment, the calculation gives 0.00 μB per cell. As for the crystal system: trigonal.

a b c (Å): 3.842 3.842 19.520
angles (deg): 90.00 90.00 120.00
Fractional positions:
Al (0.000, 0.000, 0.000)
Al (0.333, 0.667, 0.667)
Al (0.667, 0.333, 0.333)
Se (0.000, 0.000, 0.402)
Se (0.000, 0.000, 0.598)
Se (0.333, 0.667, 0.068)
Se (0.333, 0.667, 0.265)
Se (0.667, 0.333, 0.735)
Se (0.667, 0.333, 0.932)
O (0.000, 0.000, 0.500)
O (0.333, 0.667, 0.167)
O (0.667, 0.333, 0.833)

***

Q) AlSe2O | PBE | relaxed

For the magnetic moment, the calculation gives 0.00 μB per cell. As for the crystal system: cubic.

a b c (Å): 6.229 6.229 6.229
angles (deg): 90.00 90.00 90.00
Fractional positions:
Al (0.000, 0.000, 0.000)
Al (0.000, 0.500, 0.500)
Al (0.500, 0.000, 0.500)
Al (0.500, 0.500, 0.000)
Se (0.250, 0.250, 0.250)
Se (0.250, 0.250, 0.750)
Se (0.250, 0.750, 0.250)
Se (0.250, 0.750, 0.750)
Se (0.750, 0.250, 0.250)
Se (0.750, 0.250, 0.750)
Se (0.750, 0.750, 0.250)
Se (0.750, 0.750, 0.750)
O (0.000, 0.000, 0.500)
O (0.000, 0.500, 0.000)
O (0.500, 0.000, 0.000)
O (0.500, 0.500, 0.500)

***

Which structure is the most stable? The one labeled P).

***

P) AlSeO | PBE | relaxed

For the magnetic moment, the calculation gives 0.00 μB per cell. As for the crystal system: triclinic.

a b c (Å): 3.063 6.356 6.470
angles (deg): 75.06 89.87 76.07
Fractional positions:
Al (0.163, 0.174, 0.033)
Al (0.837, 0.826, 0.967)
Se (0.010, 0.480, 0.262)
Se (0.990, 0.520, 0.738)
O (0.275, 0.952, 0.864)
O (0.725, 0.048, 0.136)

***

Q) AlSeO | PBE | relaxed

For the magnetic moment, the calculation gives 0.00 μB per cell. As for the crystal system: trigonal.

a b c (Å): 3.012 3.012 6.624
angles (deg): 90.00 90.00 120.00
Fractional positions:
Al (0.000, 0.000, 0.000)
Se (0.333, 0.667, 0.691)
O (0.667, 0.333, 0.098)

***

Which structure is the most stable? The one labeled P).

***

P) AlSeO | PBE | relaxed

For the magnetic moment, the calculation gives 0.00 μB per cell. As for the crystal system: monoclinic.

a b c (Å): 5.306 3.041 5.912
angles (deg): 90.00 91.92 90.00
Fractional positions:
Al (0.000, 0.000, 0.000)
Al (0.496, 0.500, 0.777)
Se (0.047, 0.000, 0.406)
Se (0.551, 0.000, 0.439)
O (0.321, 0.000, 0.894)
O (0.824, 0.500, 0.915)

***

Q) AlSeO | PBE | relaxed

For the magnetic moment, the calculation gives 0.00 μB per cell. As for the crystal system: orthorhombic.

a b c (Å): 3.015 5.879 5.051
angles (deg): 90.00 90.00 90.00
Fractional positions:
Al (0.000, 0.127, 0.000)
Al (0.500, 0.873, 0.500)
Se (0.000, 0.525, 0.387)
Se (0.500, 0.475, 0.887)
O (0.000, 0.978, 0.680)
O (0.500, 0.022, 0.180)

***

R) AlSeO | PBE | relaxed

For the magnetic moment, the calculation gives 0.00 μB per cell. As for the crystal system: orthorhombic.

a b c (Å): 2.917 3.712 9.741
angles (deg): 90.00 90.00 90.00
Fractional positions:
Al (0.250, 0.250, 0.086)
Al (0.750, 0.750, 0.914)
Se (0.250, 0.750, 0.699)
Se (0.750, 0.250, 0.301)
O (0.250, 0.750, 0.042)
O (0.750, 0.250, 0.958)

***

Which structure is the most stable? The one labeled R).

***

P) AlSeO | PBE | relaxed

For the magnetic moment, the calculation gives 0.55 μB per cell. As for the crystal system: monoclinic.

a b c (Å): 2.896 4.737 9.595
angles (deg): 90.00 90.34 90.00
Fractional positions:
Al (0.248, 0.000, 0.415)
Al (0.752, 0.500, 0.585)
Se (0.244, 0.132, 0.180)
Se (0.756, 0.632, 0.820)
O (0.251, 0.309, 0.529)
O (0.749, 0.809, 0.471)

***

Q) AlSeO | PBE | relaxed

For the magnetic moment, the calculation gives 0.00 μB per cell. As for the crystal system: orthorhombic.

a b c (Å): 3.030 11.699 5.261
angles (deg): 90.00 90.00 90.00
Fractional positions:
Al (0.000, 0.191, 0.000)
Al (0.000, 0.809, 0.500)
Al (0.500, 0.309, 0.500)
Al (0.500, 0.691, 0.000)
Se (0.000, 0.486, 0.558)
Se (0.000, 0.514, 0.058)
Se (0.500, 0.014, 0.058)
Se (0.500, 0.986, 0.558)
O (0.000, 0.253, 0.323)
O (0.000, 0.747, 0.823)
O (0.500, 0.247, 0.823)
O (0.500, 0.753, 0.323)

***

Which structure is the most stable? The one labeled P).